A plane-wave DFT calculation with PBE was carried out for a geometry-optimized LaCuNi2 structure.

Lattice parameters (Å, degrees): 3.8847 3.9825 4.3071 90.00 97.23 90.00
Space group P2/m (No. 10)
Inequivalent atoms, fractional coordinates:
La: 0.0000 0.0000 0.0000
Cu: 0.0000 0.5000 0.5000
Ni: 0.5000 0.0000 0.5000
Ni: 0.5000 0.5000 0.0000



A plane-wave DFT calculation with PBE was carried out for a geometry-optimized MnNbRe2 structure.

Lattice parameters (Å, degrees): 7.0885 7.0885 5.0871 90.00 90.00 90.00
Space group I-42d (No. 122)
Inequivalent atoms, fractional coordinates:
Mn: 0.0000 0.0000 0.0000
Nb: 0.0000 0.0000 0.5000
Re: 0.2126 0.2500 0.1250



A plane-wave DFT calculation with PBE was carried out for a geometry-optimized SmHoTlAg structure.

Lattice parameters (Å, degrees): 3.6734 3.6734 7.7982 90.00 90.00 90.00
Space group P4mm (No. 99)
Inequivalent atoms, fractional coordinates:
Sm: 0.0000 0.0000 0.0000
Ho: 0.0000 0.0000 0.5304
Tl: 0.5000 0.5000 0.2710
Ag: 0.5000 0.5000 0.7459

Offset from the most stable computed form: 0.000 eV per atom



A plane-wave DFT calculation with PBE was carried out for a geometry-optimized PmInNi5Ge2 structure.

Lattice parameters (Å, degrees): 4.3781 4.3781 7.4742 90.00 90.00 90.00
Space group P4/mmm (No. 123)
Inequivalent atoms, fractional coordinates:
Pm: 0.0000 0.0000 0.0000
In: 0.0000 0.0000 0.5000
Ni: 0.0000 0.5000 0.2303
Ni: 0.5000 0.5000 0.0000
Ge: 0.5000 0.5000 0.3334



A plane-wave DFT calculation with PBE was carried out for a geometry-optimized TbPu6Se8 structure.

Lattice parameters (Å, degrees): 11.7289 11.7289 11.7289 90.00 90.00 90.00
Space group Fm-3m (No. 225)
Inequivalent atoms, fractional coordinates:
Tb: 0.0000 0.0000 0.0000
Pu: 0.0000 0.2500 0.2500
Se: 0.0000 0.0000 0.2483
Se: 0.2500 0.2500 0.2500

Formation energy (no corrections): -1590 meV per atom



A plane-wave DFT calculation with PBE was carried out for a geometry-optimized Tb2TlGa structure.

Lattice parameters (Å, degrees): 7.4159 7.4159 7.4159 90.00 90.00 90.00
Space group Fm-3m (No. 225)
Inequivalent atoms, fractional coordinates:
Tb: 0.2500 0.2500 0.2500
Tl: 0.0000 0.0000 0.0000
Ga: 0.0000 0.0000 0.5000

Offset from the most stable computed form: 0.029 eV per atom



A plane-wave DFT calculation with PBE was carried out for a geometry-optimized Sm2Ho2Tl structure.

Lattice parameters (Å, degrees): 8.5150 9.4780 8.5637 90.00 116.43 90.00
Space group C2/m (No. 12)
Inequivalent atoms, fractional coordinates:
Sm: 0.1611 0.0000 0.4269
Sm: 0.2219 0.5000 0.1148
Ho: 0.0703 0.3165 0.7167
Tl: 0.0000 0.1690 0.0000

Offset from the most stable computed form: 0.000 eV per atom



A plane-wave DFT calculation with PBE was carried out for a geometry-optimized Li7SnGe2 structure.

Lattice parameters (Å, degrees): 7.2901 12.4989 4.8203 90.00 90.00 90.00
Space group Cmmm (No. 65)
Inequivalent atoms, fractional coordinates:
Li: 0.0000 0.0000 0.0000
Li: 0.0000 0.2575 0.5000
Li: 0.1773 0.3826 0.0000
Sn: 0.0000 0.5000 0.5000
Ge: 0.0000 0.2074 0.0000



A plane-wave DFT calculation with PBE was carried out for a geometry-optimized Ca2ReSeN structure.

Lattice parameters (Å, degrees): 4.6585 4.6585 4.5580 90.00 90.00 90.00
Space group P4/mmm (No. 123)
Inequivalent atoms, fractional coordinates:
Ca: 0.0000 0.5000 0.0000
Re: 0.0000 0.0000 0.5000
Se: 0.5000 0.5000 0.5000
N: 0.5000 0.5000 0.0000

Formation energy (no corrections): 559 meV per atom



A plane-wave DFT calculation with PBE was carried out for a geometry-optimized Ac3Mn5Te12 structure.

Lattice parameters (Å, degrees): 17.4696 17.4696 17.4696 90.00 90.00 90.00
Space group Ia-3d (No. 230)
Inequivalent atoms, fractional coordinates:
Ac: 0.0000 0.2500 0.1250
Mn: 0.0000 0.0000 0.0000
Mn: 0.0000 0.2500 0.3750
Te: 0.0306 0.0557 0.6456

Formation energy (no corrections): -634 meV per atom



A plane-wave DFT calculation with PBE was carried out for a geometry-optimized Tb2Nd7 structure.

Lattice parameters (Å, degrees): 6.3349 6.3349 8.9373 90.00 90.00 120.00
Space group P-31m (No. 162)
Inequivalent atoms, fractional coordinates:
Tb: 0.3333 0.6667 0.0000
Nd: 0.0000 0.0000 0.0000
Nd: 0.0000 0.3338 0.6692

Offset from the most stable computed form: 0.000 eV per atom



A plane-wave DFT calculation with PBE was carried out for a geometry-optimized Dy6AgRh3 structure.

Lattice parameters (Å, degrees): 10.4499 14.6624 6.6402 90.00 90.00 90.00
Space group Cmc2_1 (No. 36)
Inequivalent atoms, fractional coordinates:
Dy: 0.0000 0.0304 0.0000
Dy: 0.0000 0.2548 0.1187
Dy: 0.1816 0.2977 0.5557
Dy: 0.1860 0.4632 0.1043
Ag: 0.0000 0.1591 0.6771
Rh: 0.0000 0.4117 0.3816
Rh: 0.1497 0.1159 0.3119

Offset from the most stable computed form: 0.038 eV per atom



For reference, DOS(E_F) by record: 1.29, 18.40, 3.00, 5.85, 233.76, 8.23, 20.08, 10.36, 4.39, 52.01, 12.46, 24.94 states/eV per cell.
For reference, VASP energy by record: -5.14, -10.36, -3.96, -5.21, -9.49, -4.10, -4.26, -2.69, -5.09, -5.43, -4.72, -5.79 eV/atom.